The following is a DFT calculation (GGA-PBEsol) of an optimized crystal structure of Tl3ReHg.

Computed properties:
VASP energy: -3.75 eV per atom
formation energy from the elements: 0.610 eV per atom
Fermi-level density of states: 0.558 states/eV/atom

a = 5.2690 Å, b = 5.2690 Å, c = 5.2690 Å
α = 90.00°, β = 90.00°, γ = 90.00°
With the nearest neighbours (Å) after each atom.
Space group Pm-3m (No. 221)
One atom of each set of equivalent atoms:
Tl 0.0000 0.0000 0.5000  2 Re 2.63
Re 0.0000 0.0000 0.0000  6 Tl 2.63
Hg 0.5000 0.5000 0.5000  12 Tl 3.73

The following is a DFT calculation (GGA-PBEsol) of an optimized crystal structure of TlReHg.

Computed properties:
VASP energy: -4.46 eV per atom
energy relative to the lowest polymorph listed for this composition: 47.3 meV per atom
formation energy from the elements: 1.049 eV per atom
Fermi-level density of states: 0.625 states/eV/atom

a = 2.8427 Å, b = 4.2731 Å, c = 9.4839 Å
α = 90.00°, β = 90.00°, γ = 90.00°
With the nearest neighbours (Å) after each atom.
Space group Imm2 (No. 44)
One atom of each set of equivalent atoms:
Tl 0.0000 0.0000 0.0000  2 Tl 2.84, 5 Hg 2.96-3.13, 5 Re 3.02-3.15
Re 0.0000 0.0000 0.3319  2 Re 2.84, 4 Hg 2.91, 5 Tl 3.02-3.15
Hg 0.0000 0.0000 0.6883  2 Hg 2.84, 4 Re 2.91, 5 Tl 2.96-3.13

The following is a DFT calculation (GGA-PBEsol) of an optimized crystal structure of TlReHg.

Computed properties:
VASP energy: -3.87 eV per atom
energy relative to the lowest polymorph listed for this composition: 640.2 meV per atom
formation energy from the elements: 1.642 eV per atom
Fermi-level density of states: 1.235 states/eV/atom

a = 6.4463 Å, b = 6.4463 Å, c = 6.4463 Å
α = 90.00°, β = 90.00°, γ = 90.00°
With the nearest neighbours (Å) after each atom.
Space group F-43m (No. 216)
One atom of each set of equivalent atoms:
Tl 0.0000 0.0000 0.0000  4 Hg 2.79, 4 Re 2.79
Re 0.2500 0.2500 0.2500  4 Tl 2.79
Hg 0.2500 0.2500 0.7500  4 Tl 2.79

The following is a DFT calculation (GGA-PBEsol) of an optimized crystal structure of YRe3Hg.

Computed properties:
VASP energy: -6.87 eV per atom
formation energy from the elements: 2.607 eV per atom
Fermi-level density of states: 2.039 states/eV/atom

a = 4.8627 Å, b = 4.8627 Å, c = 4.8627 Å
α = 90.00°, β = 90.00°, γ = 90.00°
With the nearest neighbours (Å) after each atom.
Space group Pm-3m (No. 221)
One atom of each set of equivalent atoms:
Y 0.0000 0.0000 0.0000  12 Re 3.44
Re 0.0000 0.5000 0.5000  2 Hg 2.43
Hg 0.5000 0.5000 0.5000  6 Re 2.43

The following is a DFT calculation (GGA-PBEsol) of an optimized crystal structure of Y2ReHg.

Computed properties:
VASP energy: -6.61 eV per atom
formation energy from the elements: 0.274 eV per atom
Fermi-level density of states: 1.201 states/eV/atom

a = 6.9095 Å, b = 6.9095 Å, c = 6.9095 Å
α = 90.00°, β = 90.00°, γ = 90.00°
With the nearest neighbours (Å) after each atom.
Space group F-43m (No. 216)
One atom of each set of equivalent atoms:
Y 0.0000 0.0000 0.0000  4 Re 2.99, 4 Y 2.99
Y 0.2500 0.2500 0.2500  4 Hg 2.99, 4 Y 2.99
Re 0.2500 0.2500 0.7500  4 Hg 2.99, 4 Y 2.99
Hg 0.0000 0.0000 0.5000  4 Re 2.99, 4 Y 2.99

The following is a DFT calculation (GGA-PBEsol) of an optimized crystal structure of Y2ReHg.

Computed properties:
VASP energy: -6.76 eV per atom
formation energy from the elements: 0.130 eV per atom
Fermi-level density of states: 1.001 states/eV/atom

a = 4.3008 Å, b = 4.3008 Å, c = 9.1751 Å
α = 90.00°, β = 90.00°, γ = 90.00°
With the nearest neighbours (Å) after each atom.
Space group I-4m2 (No. 119)
One atom of each set of equivalent atoms:
Y 0.0000 0.0000 0.0000  4 Hg 3.04, 4 Re 3.14, 4 Y 3.14
Y 0.0000 0.5000 0.2500  4 Re 3.04, 4 Hg 3.14, 4 Y 3.14
Re 0.0000 0.5000 0.7500  8 Y 3.04-3.14, 4 Hg 3.14
Hg 0.0000 0.0000 0.5000  8 Y 3.04-3.14, 4 Re 3.14

The following is a DFT calculation (GGA-PBEsol) of an optimized crystal structure of Y3ReHg.

Computed properties:
VASP energy: -6.62 eV per atom
formation energy from the elements: 0.249 eV per atom
Fermi-level density of states: 1.230 states/eV/atom

a = 5.3005 Å, b = 5.3005 Å, c = 5.3005 Å
α = 90.00°, β = 90.00°, γ = 90.00°
With the nearest neighbours (Å) after each atom.
Space group Pm-3m (No. 221)
One atom of each set of equivalent atoms:
Y 0.0000 0.0000 0.5000  2 Re 2.65
Re 0.0000 0.0000 0.0000  6 Y 2.65
Hg 0.5000 0.5000 0.5000  12 Y 3.75

The following is a DFT calculation (GGA-PBEsol) of an optimized crystal structure of YReHg4.

Computed properties:
VASP energy: -3.34 eV per atom
formation energy from the elements: 0.393 eV per atom
Fermi-level density of states: 0.663 states/eV/atom

a = 7.8768 Å, b = 7.8768 Å, c = 7.8768 Å
α = 90.00°, β = 90.00°, γ = 90.00°
With the nearest neighbours (Å) after each atom.
Space group F-43m (No. 216)
One atom of each set of equivalent atoms:
Y 0.0000 0.0000 0.0000  12 Hg 3.27, 4 Re 3.41
Re 0.2500 0.2500 0.2500  12 Hg 3.26, 4 Y 3.41
Hg 0.1245 0.1245 0.6245  6 Hg 2.77-2.80